[1]
Below is a relaxed LaPm7Dy2 crystal, with properties calculated at the PBE level.

Values from the calculation:
Space group: No. 71
D(E_F): 14.4 states/eV per cell
Energy relative to the lowest polymorph listed for this composition: 0.00 eV/f.u.
Formation enthalpy at 0 K: 0.191 eV/atom

Cell and atoms, written as POSCAR:
```
LaPm7Dy2
1.0
-2.7886 3.9202 8.1079
2.7886 -3.9202 8.1079
2.7886 3.9202 -8.1079
La Pm Dy
1 7 2
direct
0.0000 0.0000 0.0000
0.0692 0.3697 0.6995
0.3299 0.6303 0.6995
0.3438 0.8438 0.5000
0.5000 0.5000 0.0000
0.6562 0.1562 0.5000
0.6701 0.3697 0.3005
0.9308 0.6303 0.3005
0.2139 0.2139 0.0000
0.7861 0.7861 0.0000
```



[2]
Below is a relaxed La6Pm16Dy7 crystal, with properties calculated at the PBE level.

Values from the calculation:
Space group: No. 225
D(E_F): 48.3 states/eV per cell
Formation enthalpy at 0 K: 0.201 eV/atom

Cell and atoms, written as POSCAR:
```
La6Pm16Dy7
1.0
0.0000 8.0425 8.0425
8.0425 0.0000 8.0425
8.0425 8.0425 0.0000
La Pm Dy
6 16 7
direct
0.2188 0.2188 0.7812
0.2188 0.7812 0.2188
0.2188 0.7812 0.7812
0.7812 0.2188 0.2188
0.7812 0.2188 0.7812
0.7812 0.7812 0.2188
0.1243 0.6252 0.6252
0.1531 0.1531 0.1531
0.1531 0.1531 0.5408
0.1531 0.5408 0.1531
0.3748 0.3748 0.3748
0.3748 0.3748 0.8757
0.3748 0.8757 0.3748
0.4592 0.8469 0.8469
0.5408 0.1531 0.1531
0.6252 0.1243 0.6252
0.6252 0.6252 0.1243
0.6252 0.6252 0.6252
0.8469 0.4592 0.8469
0.8469 0.8469 0.4592
0.8469 0.8469 0.8469
0.8757 0.3748 0.3748
0.0000 0.0000 0.5000
0.0000 0.5000 0.0000
0.0000 0.5000 0.5000
0.5000 0.0000 0.0000
0.5000 0.0000 0.5000
0.5000 0.5000 0.0000
0.5000 0.5000 0.5000
```